! Rb3ScHg PBE-GGA optimized geometry; values from VASP
&SYSTEM
  ibrav = 0, nat = 5, ntyp = 3
/
ATOMIC_SPECIES
Rb 85.47 Rb.upf
Sc 44.96 Sc.upf
Hg 200.59 Hg.upf
CELL_PARAMETERS angstrom
6.8509 0.0000 0.0000
0.0000 6.8509 0.0000
0.0000 0.0000 6.8509
ATOMIC_POSITIONS crystal
Rb 0.0000 0.0000 0.5000
Rb 0.0000 0.5000 0.0000
Rb 0.5000 0.0000 0.0000
Sc 0.5000 0.5000 0.5000
Hg 0.0000 0.0000 0.0000
! Fermi-level density of states (states/eV/f.u.): 13.64
! DFT formation energy (kJ/mol of formula units): 266
! Energy relative to the lowest polymorph listed for this composition (meV/atom): 0

=====

! RbScHg3 PBE-GGA optimized geometry; values from VASP
&SYSTEM
  ibrav = 0, nat = 5, ntyp = 3
/
ATOMIC_SPECIES
Rb 85.47 Rb.upf
Sc 44.96 Sc.upf
Hg 200.59 Hg.upf
CELL_PARAMETERS angstrom
6.2004 0.0000 0.0000
0.0000 6.2004 0.0000
0.0000 0.0000 6.2004
ATOMIC_POSITIONS crystal
Rb 0.0000 0.0000 0.0000
Sc 0.5000 0.5000 0.5000
Hg 0.0000 0.0000 0.5000
Hg 0.0000 0.5000 0.0000
Hg 0.5000 0.0000 0.0000
! Fermi-level density of states (states/eV/f.u.): 8.69
! DFT formation energy (kJ/mol of formula units): 350
! Energy relative to the lowest polymorph listed for this composition (meV/atom): 758

=====

Here are the calculated total energy numbers, same order: -6.778; -4.575 (eV per cell).
Here are the calculated volume numbers, same order: 321.5; 238.4 (Å³ per cell).